Below is crystalline SrZrCr2Br at its relaxed geometry, with properties calculated at the PBE-GGA level.

Properties
Final energy in eV per formula unit: -26.4
Size of the total moment in μB per atom: 1.1276
Space group: P4/mmm, No. 123

Cell lengths 4.811, 4.811, 6.844 Å; angles 90.00, 90.00, 90.00 degrees
Fractional coordinates of all 5 atoms:
Sr (0.000, 0.000, 0.000)
Zr (0.000, 0.000, 0.500)
Cr (0.000, 0.500, 0.500)
Cr (0.500, 0.000, 0.500)
Br (0.500, 0.500, 0.000)